Record 1
The following is a DFT calculation (PBE-GGA) of crystalline ScRe2Si2 at its relaxed geometry.

a = 4.239 Å, b = 4.239 Å, c = 5.681 Å
α = 68.09°, β = 68.09°, γ = 90.00°
Element x y z (fractional)
Sc 0.000 0.000 0.000
Re 0.379 0.379 0.242
Re 0.621 0.621 0.758
Si 0.750 0.250 0.500
Si 0.250 0.750 0.500

Properties
N(E_F) = 0.83 states/eV/atom
M_tot = 0.000 Bohr magnetons per cell
SG = I4/mmm, No. 139
ΔE_f (raw) = -0.11 eV/atom

Record 2
The following is a DFT calculation (PBE-GGA) of crystalline ScRe2Si at its relaxed geometry.

a = 2.889 Å, b = 4.039 Å, c = 5.345 Å
α = 90.00°, β = 90.00°, γ = 90.00°
Element x y z (fractional)
Re 0.000 0.000 0.011
Re 0.500 0.500 0.229
Sc 0.000 0.000 0.508
Si 0.500 0.500 0.752

Properties
N(E_F) = 0.84 states/eV/atom
M_tot = 0.000 Bohr magnetons per cell
SG = Pmm2, No. 25
ΔE_f (raw) = -0.08 eV/atom

Record 3
The following is a DFT calculation (PBE-GGA) of crystalline ScRe2Si at its relaxed geometry.

a = 3.974 Å, b = 3.974 Å, c = 9.568 Å
α = 78.01°, β = 78.01°, γ = 90.00°
Element x y z (fractional)
Sc 0.000 0.000 0.000
Sc 0.750 0.250 0.500
Re 0.549 0.125 0.250
Re 0.201 0.625 0.250
Re 0.375 0.451 0.750
Re 0.875 0.799 0.750
Si 0.500 0.500 0.000
Si 0.250 0.750 0.500

Properties
N(E_F) = 1.10 states/eV/atom
M_tot = 0.000 Bohr magnetons per cell
SG = I-42d, No. 122
ΔE_f (raw) = 0.28 eV/atom

Record 4
The following is a DFT calculation (PBE-GGA) of crystalline Sc2Re3Si4 at its relaxed geometry.

a = 6.550 Å, b = 6.681 Å, c = 6.637 Å
α = 90.00°, β = 90.00°, γ = 109.72°
Element x y z (fractional)
Sc 0.558 0.191 0.331
Sc 0.942 0.809 0.831
Sc 0.442 0.809 0.669
Sc 0.058 0.191 0.169
Re 0.000 0.500 0.500
Re 0.500 0.500 0.000
Re 0.758 0.233 0.850
Re 0.742 0.767 0.350
Re 0.242 0.767 0.150
Re 0.258 0.233 0.650
Si 0.870 0.097 0.545
Si 0.630 0.903 0.045
Si 0.130 0.903 0.455
Si 0.370 0.097 0.955
Si 0.865 0.506 0.138
Si 0.635 0.494 0.638
Si 0.135 0.494 0.862
Si 0.365 0.506 0.362

Properties
N(E_F) = 0.39 states/eV/atom
M_tot = 0.000 Bohr magnetons per cell
SG = P2_1/c, No. 14
ΔE_f (raw) = -0.63 eV/atom

> Which of these has the lowest ΔE_f (raw)?

Sc2Re3Si4

> Which formula does entry 4 have?

Sc2Re3Si4